{
  "formula": "PmYTlAg",
  "functional": "PBE",
  "state": "optimized geometry",
  "delta_e_f_mev_per_atom": -345,
  "lattice": [[-2.8469, -4.3314, 1.2714], [2.0923, -3.7239, 3.1995], [-1.8634, -0.6060, 4.9642]],
  "species": ["Y", "Tl", "Ag", "Pm"],
  "frac_coords": [[0.0000, 0.0000, 0.0000], [0.2500, 0.2500, 0.2500], [0.7500, 0.7500, 0.7500], [0.5000, 0.5000, 0.5000]]
}